20
Lattice="-0.0866 2.8880 -1.1709 -3.6638 -3.3666 -8.0328 -8.7058 1.1530 3.4875" Properties=species:S:1:pos:R:3 comment="Sc2Be2ZnRh5, relaxed, DFT PBE-GGA" total_magnetization_mub_per_atom=0.000 space_group="P4/mbm, No. 127" rho_g_cm3=8.208 total_energy_ev_per_atom=-6.583 pbc="T T T"
Rh -11.0264 -0.1454 -3.6934
Rh -4.1420 0.3343 -3.0193
Rh -4.3962 2.0205 1.1583
Rh -6.0776 1.1251 -0.9256
Rh -5.2730 -1.4418 -7.3165
Rh -8.3142 0.3400 -2.6968
Rh -6.3785 -0.4508 -4.7905
Rh -1.8752 -0.2393 -4.6018
Rh -7.1832 2.1161 1.6004
Rh -1.4298 0.8197 -2.0227
Sc -8.3681 -0.1421 0.2684
Sc -8.9011 -1.9974 -4.2684
Sc -4.0015 -2.0715 -4.8136
Sc -3.4686 -0.2162 -0.2769
Be -5.8982 0.2999 1.1759
Be -6.4714 -2.5135 -5.7212
Be -2.4618 -1.1187 -2.5772
Be -9.9078 -1.0950 -1.9681
Zn -6.1848 -1.1068 -2.2726
Zn 0.0000 0.0000 0.0000

=====

12
Lattice="4.9964 0.0164 -0.0157 -2.4766 4.3394 0.0157 -2.4738 -1.4757 8.3474" Properties=species:S:1:pos:R:3 comment="Cu3Sn, relaxed, DFT PBE-GGA" total_magnetization_mub_per_atom=0.000 space_group="C2/m, No. 12" rho_g_cm3=8.504 total_energy_ev_per_atom=-4.031 pbc="T T T"
Cu -2.4752 1.4319 4.1815
Cu 0.0220 -0.0128 8.3294
Cu -1.2303 2.1732 2.1070
Cu -1.2094 0.6996 6.2344
Cu 1.2554 2.1805 2.1130
Cu 0.0239 2.8929 0.0179
Cu -2.4532 2.8807 6.2561
Cu 1.2763 0.7069 6.2404
Cu 2.4992 -0.0005 2.0913
Sn 0.0089 -0.0051 3.4522
Sn 0.0371 2.8853 4.8952
Sn 0.0000 0.0000 0.0000

=====

4
Lattice="2.7022 0.0000 0.0000 0.0000 4.7036 0.0000 0.0000 0.0000 4.4269" Properties=species:S:1:pos:R:3 comment="Ni2OsAu, relaxed, DFT PBE-GGA" total_magnetization_mub_per_atom=0.445 space_group="Pmmm, No. 47" rho_g_cm3=14.891 total_energy_ev_per_atom=-6.003 pbc="T T T"
Os 1.3511 0.0000 2.2135
Ni 1.3511 2.3518 0.0000
Ni 0.0000 0.0000 0.0000
Au 0.0000 2.3518 2.2135

=====

4
Lattice="4.1328 0.0000 0.0000 0.0000 2.8076 0.0348 0.0000 2.7443 6.1141" Properties=species:S:1:pos:R:3 comment="CdTcAu2, relaxed, DFT PBE-GGA" total_magnetization_mub_per_atom=0.138 space_group="P2/m, No. 10" rho_g_cm3=14.225 total_energy_ev_per_atom=-4.206 pbc="T T T"
Cd 2.0664 1.3880 1.5372
Tc 2.0664 4.1639 4.6117
Au 0.0000 2.7768 3.1695
Au 0.0000 2.7434 6.0190

=====

6
Lattice="-2.2615 -1.2125 2.3311 1.2814 -3.1940 -0.4181 7.7170 1.9811 8.5170" Properties=species:S:1:pos:R:3 comment="Tm3MgGa2, relaxed, DFT PBE-GGA" total_magnetization_mub_per_atom=0.000 space_group="P4/mmm, No. 123" rho_g_cm3=7.944 total_energy_ev_per_atom=-3.907 pbc="T T T"
Mg 3.3684 -1.2127 5.2150
Tm 0.0000 0.0000 0.0000
Tm 5.3133 1.3641 5.8642
Tm 2.4036 0.6171 2.6528
Ga 0.7413 -1.8871 2.3155
Ga 5.9956 -0.5382 8.1145

=====

8
Lattice="-4.7833 1.9862 1.9542 -2.6427 -2.0033 -4.4325 -4.4573 -4.0227 1.0189" Properties=species:S:1:pos:R:3 comment="KNi2C, relaxed, DFT PBE-GGA" total_magnetization_mub_per_atom=0.000 space_group="I4_1/amd, No. 141" rho_g_cm3=3.914 total_energy_ev_per_atom=-5.053 pbc="T T T"
K 0.0000 0.0000 0.0000
K -6.4768 -1.0226 0.8670
C -3.7130 -0.0086 -1.2391
C -5.4065 -3.0173 -2.3264
Ni -9.1800 -2.5312 -0.2961
Ni -3.2383 -0.5113 0.4334
Ni -4.5599 -1.5129 -1.7827
Ni -6.7885 -3.5243 -1.2734

=====

12
Lattice="6.1230 -0.0023 -0.0059 -3.0619 5.3024 -0.0059 -1.0140 -1.7557 11.4644" Properties=species:S:1:pos:R:3 comment="Sm3Dy6Ho2In, relaxed, DFT PBE-GGA" total_magnetization_mub_per_atom=0.000 space_group="C2/m, No. 12" rho_g_cm3=8.351 total_energy_ev_per_atom=-4.511 pbc="T T T"
Dy 3.0519 1.8049 8.6579
Dy 2.0562 3.5603 2.8031
Dy -0.0092 -0.0159 8.6494
Dy 0.0381 3.5455 8.6579
Dy -1.0049 1.7395 2.7946
Dy 2.0089 -0.0011 2.7946
Ho 3.0565 1.7687 -0.0059
Ho 0.0045 3.5314 -0.0059
Sm 1.0235 1.7722 5.7263
Sm -2.0324 3.5371 5.7263
Sm 4.0795 0.0073 5.7263
In 0.0000 0.0000 0.0000

=====

4
Lattice="-1.4164 -4.2533 -0.0070 0.7958 -0.2578 -4.4042 4.1782 -1.3928 0.8364" Properties=species:S:1:pos:R:3 comment="ThAu3, relaxed, DFT PBE-GGA" total_magnetization_mub_per_atom=0.000 space_group="Pm-3m, No. 221" rho_g_cm3=15.168 total_energy_ev_per_atom=-4.721 pbc="T T T"
Th 0.0000 0.0000 0.0000
Au 1.3809 -2.8230 0.4147
Au -0.3103 -2.2555 -2.2056
Au 2.4870 -0.8253 -1.7839